No. 1
LaTb8Tm2 | GGA-PBE | relaxed

a b c (Å): 5.528 10.252 10.252
angles (deg): 39.64 92.83 92.83
Atoms (fractional coordinates):
Tb: 0.239 0.547 0.547
Tb: 0.731 0.403 0.868
Tb: 0.731 0.868 0.403
Tb: 0.767 0.810 0.810
Tb: 0.269 0.132 0.597
Tb: 0.761 0.453 0.453
Tb: 0.269 0.597 0.132
Tb: 0.233 0.190 0.190
Tm: 0.250 0.715 0.715
Tm: 0.750 0.285 0.285
La: 0.000 0.000 0.000

energy above the lowest structure with this stoichiometry: 0.0134 eV/atom
V: 370.2 Å³/f.u.
calculated total energy: -49.4 eV per cell



No. 2
Be3Al | GGA-PBE | relaxed

a b c (Å): 2.674 3.686 4.296
angles (deg): 90.00 90.00 90.00
Atoms (fractional coordinates):
Be: 0.500 0.000 0.503
Be: 0.000 0.500 0.373
Be: 0.500 0.500 0.793
Al: 0.000 0.000 0.998

V: 42.3 Å³/f.u.
calculated total energy: -13.8 eV per cell



No. 3
MoRu2 | GGA-PBE | relaxed

a b c (Å): 5.045 5.045 5.045
angles (deg): 60.00 60.00 60.00
Atoms (fractional coordinates):
Mo: 0.250 0.250 0.250
Mo: 0.000 0.000 0.000
Ru: 0.125 0.625 0.625
Ru: 0.625 0.625 0.625
Ru: 0.625 0.125 0.625
Ru: 0.625 0.625 0.125

V: 45.4 Å³/f.u.
calculated total energy: -56.9 eV per cell



No. 4
Cd2Os2O7 | GGA-PBE | relaxed

a b c (Å): 5.448 5.966 5.966
angles (deg): 113.65 94.69 94.69
Atoms (fractional coordinates):
O: 0.292 0.613 0.926
O: 0.206 0.435 0.435
O: 0.708 0.387 0.074
O: 0.000 0.000 0.000
O: 0.794 0.565 0.565
O: 0.708 0.074 0.387
O: 0.292 0.926 0.613
Os: 0.890 0.263 0.263
Os: 0.110 0.737 0.737
Cd: 0.500 0.695 0.305
Cd: 0.500 0.305 0.695

energy above the lowest structure with this stoichiometry: 0.1410 eV/atom
raw formation energy: -0.88 eV/atom
V: 175.6 Å³/f.u.
calculated total energy: -68.7 eV per cell



No. 5
CoPbCl2 | GGA-PBE | relaxed

a b c (Å): 4.848 4.848 3.714
angles (deg): 90.00 90.00 90.00
Atoms (fractional coordinates):
Pb: 0.000 0.500 0.500
Co: 0.500 0.000 0.500
Cl: 0.000 0.000 0.000
Cl: 0.500 0.500 0.000

energy above the lowest structure with this stoichiometry: 0.6161 eV/atom
raw formation energy: 0.22 eV/atom
V: 87.3 Å³/f.u.
calculated total energy: -13.6 eV per cell



No. 6
CsTaTl2Cl | GGA-PBE | relaxed

a b c (Å): 6.668 5.470 6.668
angles (deg): 90.00 90.00 90.00
Atoms (fractional coordinates):
Tl: 0.000 0.000 0.500
Tl: 0.500 0.000 0.000
Cl: 0.500 0.500 0.500
Cs: 0.000 0.000 0.000
Ta: 0.000 0.500 0.000

raw formation energy: 1.67 eV/atom
V: 243.2 Å³/f.u.
calculated total energy: -11.0 eV per cell



No. 7
NaSmPtPb | GGA-PBE | relaxed

a b c (Å): 4.996 4.996 4.996
angles (deg): 60.00 60.00 60.00
Atoms (fractional coordinates):
Sm: 0.000 0.000 0.000
Pt: 0.750 0.750 0.750
Pb: 0.500 0.500 0.500
Na: 0.250 0.250 0.250

V: 88.2 Å³/f.u.
calculated total energy: -18.0 eV per cell



No. 8
RbLiIN2 | GGA-PBE | relaxed

a b c (Å): 4.904 4.904 5.677
angles (deg): 90.00 90.00 90.00
Atoms (fractional coordinates):
Li: 0.000 0.000 0.000
N: 0.500 0.000 0.000
N: 0.000 0.500 0.000
I: 0.000 0.000 0.500
Rb: 0.500 0.500 0.500

energy above the lowest structure with this stoichiometry: 0.0000 eV/atom
raw formation energy: 0.99 eV/atom
V: 136.6 Å³/f.u.
calculated total energy: -16.1 eV per cell



No. 9
BaZr2Rh | GGA-PBE | relaxed

a b c (Å): 6.472 6.472 6.472
angles (deg): 150.59 128.15 60.73
Atoms (fractional coordinates):
Zr: 0.446 0.446 0.000
Zr: 0.054 0.054 0.000
Rh: 0.250 0.750 0.500
Ba: 0.750 0.250 0.500

energy above the lowest structure with this stoichiometry: 0.1798 eV/atom
V: 103.8 Å³/f.u.
calculated total energy: -26.0 eV per cell



No. 10
Cs3Dy2ThTe6 | GGA-PBE | relaxed

a b c (Å): 7.870 7.870 9.369
angles (deg): 98.05 98.05 120.00
Atoms (fractional coordinates):
Te: 0.273 0.273 0.807
Te: 0.599 0.936 0.807
Te: 0.727 0.727 0.193
Te: 0.064 0.401 0.193
Te: 0.401 0.064 0.193
Te: 0.936 0.599 0.807
Dy: 0.667 0.333 0.000
Dy: 0.333 0.667 0.000
Th: 0.000 0.000 0.000
Cs: 0.834 0.166 0.500
Cs: 0.166 0.834 0.500
Cs: 0.500 0.500 0.500

raw formation energy: -1.31 eV/atom
V: 482.4 Å³/f.u.
calculated total energy: -53.8 eV per cell



No. 11
Gd2CBr | GGA-PBE | relaxed

a b c (Å): 3.730 3.730 14.381
angles (deg): 90.00 90.00 120.00
Atoms (fractional coordinates):
Br: 0.333 0.667 0.750
Br: 0.667 0.333 0.250
C: 0.000 0.000 0.500
C: 0.000 0.000 0.000
Gd: 0.667 0.333 0.910
Gd: 0.333 0.667 0.090
Gd: 0.333 0.667 0.410
Gd: 0.667 0.333 0.590

raw formation energy: -0.95 eV/atom
V: 86.6 Å³/f.u.
calculated total energy: -85.7 eV per cell



No. 12
BaBi | GGA-PBE | relaxed

a b c (Å): 10.630 10.630 10.630
angles (deg): 90.00 90.00 90.00
Atoms (fractional coordinates):
Ba: 0.689 0.311 0.311
Ba: 0.811 0.189 0.811
Ba: 0.189 0.811 0.811
Ba: 0.811 0.811 0.189
Ba: 0.311 0.689 0.311
Ba: 0.311 0.311 0.689
Ba: 0.689 0.689 0.689
Ba: 0.189 0.189 0.189
Bi: 0.124 0.124 0.876
Bi: 0.624 0.376 0.624
Bi: 0.124 0.876 0.124
Bi: 0.876 0.124 0.124
Bi: 0.876 0.876 0.876
Bi: 0.376 0.376 0.376
Bi: 0.624 0.624 0.376
Bi: 0.376 0.624 0.624

V: 150.2 Å³/f.u.
calculated total energy: -49.8 eV per cell



No. 13
DyTlH | GGA-PBE | relaxed

a b c (Å): 3.640 3.640 8.943
angles (deg): 90.00 90.00 90.00
Atoms (fractional coordinates):
H: 0.500 0.500 0.500
H: 0.000 0.000 0.500
Dy: 0.500 0.000 0.644
Dy: 0.000 0.500 0.356
Tl: 0.500 0.000 0.122
Tl: 0.000 0.500 0.878

energy above the lowest structure with this stoichiometry: 0.0372 eV/atom
V: 59.2 Å³/f.u.
calculated total energy: -22.9 eV per cell



No. 14
NbIn3Sn | GGA-PBE | relaxed

a b c (Å): 5.401 5.401 5.401
angles (deg): 90.00 90.00 90.00
Atoms (fractional coordinates):
In: 0.000 0.500 0.000
In: 0.500 0.000 0.000
In: 0.000 0.000 0.500
Sn: 0.500 0.500 0.500
Nb: 0.000 0.000 0.000

energy above the lowest structure with this stoichiometry: 0.0000 eV/atom
V: 157.6 Å³/f.u.
calculated total energy: -19.3 eV per cell



No. 15
AcLaPrCd | GGA-PBE | relaxed

a b c (Å): 3.895 3.895 9.177
angles (deg): 90.00 90.00 90.00
Atoms (fractional coordinates):
Cd: 0.000 0.000 0.567
Ac: 0.000 0.000 0.074
Pr: 0.500 0.500 0.357
La: 0.500 0.500 0.787

energy above the lowest structure with this stoichiometry: 0.0000 eV/atom
V: 139.2 Å³/f.u.
calculated total energy: -15.4 eV per cell



No. 16
IrPt2Se2 | GGA-PBE | relaxed

a b c (Å): 7.311 7.311 7.311
angles (deg): 151.10 151.10 41.33
Atoms (fractional coordinates):
Pt: 0.407 0.407 0.000
Pt: 0.593 0.593 0.000
Se: 0.750 0.250 0.500
Se: 0.250 0.750 0.500
Ir: 0.000 0.000 0.000

raw formation energy: 0.74 eV/atom
V: 91.1 Å³/f.u.
calculated total energy: -24.2 eV per cell



No. 17
HgBi12Au7 | GGA-PBE | relaxed

a b c (Å): 8.034 9.329 9.329
angles (deg): 67.89 73.32 106.68
Atoms (fractional coordinates):
Bi: 0.296 0.326 0.507
Bi: 0.704 0.674 0.493
Bi: 0.030 0.833 0.674
Bi: 0.803 0.507 0.167
Bi: 0.434 0.282 0.091
Bi: 0.197 0.493 0.833
Bi: 0.566 0.718 0.909
Bi: 0.970 0.167 0.326
Bi: 0.848 0.373 0.718
Bi: 0.525 0.091 0.627
Bi: 0.475 0.909 0.373
Bi: 0.152 0.627 0.282
Au: 0.416 0.296 0.781
Au: 0.880 0.077 0.704
Au: 0.803 0.219 0.077
Au: 0.197 0.781 0.923
Au: 0.500 0.000 0.000
Au: 0.120 0.923 0.296
Au: 0.584 0.704 0.219
Hg: 0.000 0.000 0.000

V: 555.7 Å³/f.u.
calculated total energy: -69.2 eV per cell



No. 18
Na2ThPd5 | GGA-PBE | relaxed

a b c (Å): 4.261 4.261 8.867
angles (deg): 103.90 103.90 90.00
Atoms (fractional coordinates):
Na: 0.750 0.750 0.499
Na: 0.250 0.250 0.501
Pd: 0.119 0.619 0.238
Pd: 0.881 0.381 0.762
Pd: 0.381 0.881 0.762
Pd: 0.619 0.119 0.238
Pd: 0.500 0.500 0.000
Th: 0.000 0.000 0.000

V: 151.4 Å³/f.u.
calculated total energy: -40.2 eV per cell



No. 19
K2Rb2Pt | GGA-PBE | relaxed

a b c (Å): 8.549 8.549 6.989
angles (deg): 90.00 90.00 90.00
Atoms (fractional coordinates):
K: 0.668 0.168 0.000
K: 0.332 0.832 0.000
K: 0.168 0.332 0.000
K: 0.832 0.668 0.000
Pt: 0.500 0.500 0.000
Pt: 0.000 0.000 0.000
Rb: 0.304 0.196 0.500
Rb: 0.196 0.696 0.500
Rb: 0.804 0.304 0.500
Rb: 0.696 0.804 0.500

energy above the lowest structure with this stoichiometry: 0.0000 eV/atom
V: 255.4 Å³/f.u.
calculated total energy: -18.7 eV per cell



No. 20
Er2UC2 | GGA-PBE | relaxed

a b c (Å): 5.286 6.409 6.409
angles (deg): 63.39 65.64 65.64
Atoms (fractional coordinates):
Er: 0.342 0.287 0.029
Er: 0.842 0.029 0.287
Er: 0.658 0.713 0.971
Er: 0.158 0.971 0.713
C: 0.897 0.340 0.865
C: 0.397 0.865 0.340
C: 0.103 0.660 0.135
C: 0.603 0.135 0.660
U: 0.750 0.500 0.500
U: 0.250 0.500 0.500

V: 84.9 Å³/f.u.
calculated total energy: -78.2 eV per cell